Material: Ba3PtPb
Method: DFT, PBE
State: relaxed

Summary:
ΔE_f   -0.51 eV/atom
Theoretical density   5.96 Mg/m³
Distance to the lowest polymorph of the same formula   72 meV/atom

Lattice parameters (Å, degrees): 6.099 6.099 6.099 90.00 90.00 90.00
Positions (direct):
Ba1 0.000 0.000 0.500
Ba2 0.000 0.500 0.000
Ba3 0.500 0.000 0.000
Pt1 0.000 0.000 0.000
Pb1 0.500 0.500 0.500